# BeSnAsBr2 | Alexandria via LeMat-Bulk | GGA-PBE | relaxed
# ΔE_f (raw), eV per atom: 0.68
# Relative energy among the computed polymorphs, eV/atom: 0.6593
# Space group: No. 123
# Energy, eV/atom: -2.461
# Total moment, μB/f.u.: 1.82
data_BeSnAsBr2
_symmetry_space_group_name_H-M 'P 1'
_symmetry_Int_Tables_number 1
_symmetry_space_group_name_Hall 'P 1'
_cell_length_a 5.616
_cell_length_b 5.616
_cell_length_c 5.563
_cell_angle_alpha 90.00
_cell_angle_beta 90.00
_cell_angle_gamma 90.00
loop_
_atom_site_label
_atom_site_type_symbol
_atom_site_fract_x
_atom_site_fract_y
_atom_site_fract_z
Be1 Be 0.000 0.000 0.000
Sn1 Sn 0.500 0.500 0.500
As1 As 0.500 0.500 0.000
Br1 Br 0.000 0.500 0.500
Br2 Br 0.500 0.000 0.500